Record 1
DFT (PBE) results for a relaxed Ca2HfTlB crystal.

Properties
Calculated formation energy in meV per atom: 90

Cell lengths 5.2419, 5.2419, 4.6003 Å; angles 90.00, 90.00, 90.00 degrees
Space group P4/mmm (No. 123)
One atom of each set of equivalent atoms:
Ca 0.0000 0.5000 0.0000 [2 per cell]
Hf 0.0000 0.0000 0.5000 [1 per cell]
Tl 0.5000 0.5000 0.5000 [1 per cell]
B 0.0000 0.0000 0.0000 [1 per cell]

Record 2
DFT (PBE) results for a relaxed CePmSm2Dy crystal.

Properties
Calculated formation energy in meV per atom: 276

Cell lengths 5.9813, 7.9750, 7.0164 Å; angles 90.00, 90.00, 90.00 degrees
Space group Pmm2 (No. 25)
One atom of each set of equivalent atoms:
Ce 0.2495 0.0000 0.0000 [2 per cell]
Pm 0.0000 0.5000 0.8383 [1 per cell]
Pm 0.5000 0.5000 0.1618 [1 per cell]
Sm 0.0000 0.2943 0.3111 [2 per cell]
Sm 0.5000 0.2941 0.6890 [2 per cell]
Dy 0.0000 0.0000 0.5981 [1 per cell]
Dy 0.5000 0.0000 0.4015 [1 per cell]

Record 3
DFT (PBE) results for a relaxed Cs2PaOF5 crystal.

Properties
E_form (uncorrected) in eV per atom: -3.34

Cell lengths 6.7744, 6.7744, 9.8346 Å; angles 90.00, 90.00, 90.00 degrees
Space group I4mm (No. 107)
One atom of each set of equivalent atoms:
Cs 0.0000 0.5000 0.0000 [4 per cell]
Pa 0.0000 0.0000 0.2518 [2 per cell]
O 0.0000 0.0000 0.4469 [2 per cell]
F 0.0000 0.0000 0.0308 [2 per cell]
F 0.2286 0.2286 0.2382 [8 per cell]

Record 4
DFT (PBE) results for a relaxed Y3ZrTc crystal.

Properties
Calculated formation energy in meV per atom: 427

Cell lengths 5.3017, 5.3017, 5.3017 Å; angles 90.00, 90.00, 90.00 degrees
Space group Pm-3m (No. 221)
One atom of each set of equivalent atoms:
Y 0.0000 0.0000 0.5000 [3 per cell]
Zr 0.5000 0.5000 0.5000 [1 per cell]
Tc 0.0000 0.0000 0.0000 [1 per cell]

Record 5
DFT (PBE) results for a relaxed Nd7Hg2Pd2 crystal.

Properties
Calculated formation energy in meV per atom: -301

Cell lengths 8.1954, 11.3916, 7.3995 Å; angles 90.00, 90.00, 90.00 degrees
Space group Cmmm (No. 65)
One atom of each set of equivalent atoms:
Nd 0.0000 0.0000 0.0000 [2 per cell]
Nd 0.0000 0.5000 0.2528 [4 per cell]
Nd 0.2500 0.2500 0.2605 [8 per cell]
Hg 0.1765 0.0000 0.5000 [4 per cell]
Pd 0.0000 0.2914 0.0000 [4 per cell]

Record 6
DFT (PBE) results for a relaxed GaFe2GeAu crystal.

Properties
Calculated formation energy in meV per atom: 869

Cell lengths 4.4785, 4.4785, 4.6944 Å; angles 90.00, 90.00, 90.00 degrees
Space group P4/mmm (No. 123)
One atom of each set of equivalent atoms:
Ga 0.0000 0.0000 0.0000 [1 per cell]
Fe 0.0000 0.5000 0.0000 [2 per cell]
Ge 0.5000 0.5000 0.5000 [1 per cell]
Au 0.0000 0.0000 0.5000 [1 per cell]

Record 7
DFT (PBE) results for a relaxed Zr2V2Rh crystal.

Properties
Calculated formation energy in meV per atom: 109

Cell lengths 3.3323, 3.3323, 16.4010 Å; angles 90.00, 90.00, 90.00 degrees
Space group I4/mmm (No. 139)
One atom of each set of equivalent atoms:
Zr 0.0000 0.0000 0.1000 [4 per cell]
V 0.0000 0.5000 0.2500 [4 per cell]
Rh 0.0000 0.0000 0.5000 [2 per cell]

Record 8
DFT (PBE) results for a relaxed Cd2HgTe2 crystal.

Properties
E_form (uncorrected) in eV per atom: -0.01

Cell lengths 4.8508, 4.8508, 13.2688 Å; angles 90.00, 90.00, 90.00 degrees
Space group I4/mmm (No. 139)
One atom of each set of equivalent atoms:
Cd 0.0000 0.0000 0.1025 [4 per cell]
Hg 0.0000 0.0000 0.5000 [2 per cell]
Te 0.0000 0.5000 0.2500 [4 per cell]

Record 9
DFT (PBE) results for a relaxed Dy2ZrSc3 crystal.

Properties
Calculated formation energy in meV per atom: 68

Cell lengths 8.4572, 9.0672, 8.4594 Å; angles 90.00, 103.14, 90.00 degrees
Space group C2/c (No. 15)
One atom of each set of equivalent atoms:
Dy 0.1263 0.2473 0.1236 [8 per cell]
Zr 0.0000 0.0844 0.7500 [4 per cell]
Sc 0.0000 0.4127 0.7500 [4 per cell]
Sc 0.2438 0.0803 0.4950 [8 per cell]

Record 10
DFT (PBE) results for a relaxed CeEr2Al6 crystal.

Properties
Calculated formation energy in meV per atom: -455

Cell lengths 7.9418, 7.9418, 3.4633 Å; angles 90.00, 90.00, 120.00 degrees
Space group P6/mmm (No. 191)
One atom of each set of equivalent atoms:
Ce 0.0000 0.0000 0.0000 [1 per cell]
Er 0.3333 0.6667 0.0000 [2 per cell]
Al 0.0000 0.3349 0.5000 [6 per cell]

Record 11
DFT (PBE) results for a relaxed NdSm3Y2S6 crystal.

Properties
E_form (uncorrected) in eV per atom: -2.02

Cell lengths 6.8986, 11.9872, 6.9080 Å; angles 90.00, 109.49, 90.00 degrees
Space group C2/m (No. 12)
One atom of each set of equivalent atoms:
Nd 0.0000 0.0000 0.0000 [2 per cell]
Sm 0.0000 0.1627 0.5000 [4 per cell]
Sm 0.0000 0.5000 0.5000 [2 per cell]
Y 0.0000 0.3337 0.0000 [4 per cell]
S 0.2395 0.5000 0.2437 [4 per cell]
S 0.2468 0.3291 0.7530 [8 per cell]

Record 12
DFT (PBE) results for a relaxed BaAgGe2S6 crystal.

Properties
E_form (uncorrected) in eV per atom: -0.56

Cell lengths 12.6890, 14.2730, 5.9789 Å; angles 90.00, 96.09, 90.00 degrees
Space group C2/c (No. 15)
One atom of each set of equivalent atoms:
Ba 0.0000 0.1186 0.2500 [4 per cell]
Ag 0.0000 0.3484 0.7500 [4 per cell]
Ge 0.2113 0.4232 0.2100 [8 per cell]
S 0.1163 0.0877 0.7692 [8 per cell]
S 0.1305 0.2965 0.0593 [8 per cell]
S 0.1545 0.4358 0.5599 [8 per cell]

no.,density (g cm⁻³)
1,6.22
2,7.43
3,4.47
4,5.08
5,7.81
6,7.95
7,7.06
8,7.24
9,5.79
10,5.59
11,5.95
12,3.60